(1)
! AlTl3Zn GGA-PBEsol relaxed; values from VASP
&SYSTEM
  ibrav = 0, nat = 5, ntyp = 3
/
ATOMIC_SPECIES
Al 26.98 Al.upf
Tl 204.38 Tl.upf
Zn 65.41 Zn.upf
CELL_PARAMETERS angstrom
5.213 0.000 0.000
0.000 5.213 0.000
0.000 0.000 5.213
ATOMIC_POSITIONS angstrom
Al 0.000 0.000 0.000
Tl 0.000 2.607 2.607
Tl 2.607 0.000 2.607
Tl 2.607 2.607 0.000
Zn 2.607 2.607 2.607
! V: 141.7 Å³/cell
! DOS(E_F): 2.79 states/eV/f.u.
! Crystal system: cubic
! Electronic total energy: -2.246 eV/atom
! Space-group type: No. 221

=====

(2)
! Al2TlZn GGA-PBEsol relaxed; values from VASP
&SYSTEM
  ibrav = 0, nat = 4, ntyp = 3
/
ATOMIC_SPECIES
Al 26.98 Al.upf
Tl 204.38 Tl.upf
Zn 65.41 Zn.upf
CELL_PARAMETERS angstrom
2.883 0.000 0.000
0.000 3.887 0.000
0.000 0.000 6.945
ATOMIC_POSITIONS angstrom
Al 0.000 0.000 0.000
Al 1.442 1.944 1.480
Tl 0.000 0.000 3.619
Zn 1.442 1.944 5.639
! V: 77.8 Å³/cell
! Energy above the most stable polymorph in this dataset: 0 meV/atom
! DOS(E_F): 1.41 states/eV/f.u.
! Crystal system: orthorhombic
! Electronic total energy: -2.915 eV/atom
! Space-group type: No. 25

=====

> What is the V in the second record?

77.8 Å³/cell